# 1
Material: LaTlAu4
Method: DFT, meta-GGA SCAN
State: PBEsol geometry

a = 7.9288 Å, b = 7.9288 Å, c = 7.9288 Å
α = 90.00°, β = 90.00°, γ = 90.00°
Last column: nearest neighbours and their distance in Å.
Space group F-43m (No. 216)
One atom of each set of equivalent atoms:
La: 0.0000 0.0000 0.0000  12 Au 3.29, 4 Tl 3.43
Tl: 0.2500 0.2500 0.2500  12 Au 3.29, 4 La 3.43
Au: 0.1247 0.1247 0.6247  6 Au 2.80-2.81

Calculated values
Total energy in eV per atom: -65.88

=====

# 2
Material: ScSbW3
Method: DFT, meta-GGA SCAN
State: PBEsol geometry

a = 4.6292 Å, b = 4.6292 Å, c = 4.6292 Å
α = 90.00°, β = 90.00°, γ = 90.00°
Last column: nearest neighbours and their distance in Å.
Space group Pm-3m (No. 221)
One atom of each set of equivalent atoms:
Sc: 0.0000 0.0000 0.0000  6 W 2.31
Sb: 0.5000 0.5000 0.5000  12 W 3.27
W: 0.0000 0.0000 0.5000  2 Sc 2.31

Calculated values
Total energy in eV per atom: -49.53
Formation energy (no corrections) in meV/atom: 2587